[1]
BaP3Pb: relaxed, PBE-GGA.

Computed properties:
DFT formation energy = 1165.8 meV/atom
Symmetry = Pm-3m
DOS at the Fermi energy = 1.363 states/eV per atom
Final energy = -3.206 eV/atom
Spin magnetization = 0.0 μB per formula unit
Excess energy over the best structure of this formula in the dataset = 0.794 eV/atom

```
BaP3Pb
1.0
5.5758 0.0000 0.0000
0.0000 5.5758 0.0000
0.0000 0.0000 5.5758
Ba P Pb
1 3 1
Cartesian
0.0000 0.0000 0.0000
0.0000 0.0000 2.7879
0.0000 2.7879 0.0000
2.7879 0.0000 0.0000
2.7879 2.7879 2.7879
```

[2]
Ca2CrPt: relaxed, PBE-GGA.

Computed properties:
DFT formation energy = -226.2 meV/atom
Symmetry = R3m
DOS at the Fermi energy = 0.418 states/eV per atom
Final energy = -5.143 eV/atom
Spin magnetization = 4.0 μB per formula unit
Excess energy over the best structure of this formula in the dataset = 0.000 eV/atom

```
Ca2CrPt
1.0
2.1718 1.2539 7.1939
-2.1718 1.2539 7.1939
0.0000 -2.5078 7.1939
Ca Cr Pt
2 1 1
Cartesian
0.0000 0.0000 0.0000
0.0000 0.0000 3.8378
0.0000 0.0000 16.3099
0.0000 0.0000 9.1033
```

[3]
Rb4SrNp3O12: relaxed, PBE-GGA.

Computed properties:
Symmetry = Im-3m
DOS at the Fermi energy = 0.245 states/eV per atom
ΔE_f (raw) = -2626 meV per atom
Final energy = -7.820 eV/atom
Spin magnetization = 3.0 μB per formula unit

```
Rb4SrNp3O12
1.0
-4.3979 4.3979 4.3979
4.3979 -4.3979 4.3979
4.3979 4.3979 -4.3979
Rb Sr Np O
4 1 3 12
Cartesian
2.1990 2.1990 -2.1990
2.1990 -2.1990 2.1990
-2.1990 2.1990 2.1990
2.1990 2.1990 2.1990
0.0000 0.0000 0.0000
4.3979 0.0000 0.0000
0.0000 4.3979 0.0000
0.0000 0.0000 4.3979
2.4700 0.0000 0.0000
6.3259 0.0000 0.0000
4.3979 2.1990 0.0000
4.3979 0.0000 2.1990
0.0000 2.4700 0.0000
0.0000 0.0000 2.4700
2.1990 4.3979 0.0000
2.1990 0.0000 4.3979
0.0000 6.3259 0.0000
0.0000 0.0000 6.3259
0.0000 4.3979 2.1990
0.0000 2.1990 4.3979
```

[4]
BiBSe: relaxed, PBE-GGA.

Computed properties:
Symmetry = P1
DOS at the Fermi energy = 0.230 states/eV per atom
ΔE_f (raw) = 186 meV per atom
Final energy = -4.494 eV/atom
Spin magnetization = 0.0 μB per formula unit

```
BiBSe
1.0
3.3270 0.0000 0.0000
-0.5825 6.3066 0.0000
-0.0266 -1.1509 8.1600
Bi B Se
2 2 2
Cartesian
0.0000 0.0000 0.0000
0.4157 1.8919 7.5088
0.9991 5.7919 1.7469
1.6367 0.2976 3.1867
-0.0321 0.8135 4.2079
0.9786 3.8424 1.9561
```

[5]
In2CuPO: relaxed, PBE-GGA.

Computed properties:
Symmetry = P4/mmm
DOS at the Fermi energy = 0.417 states/eV per atom
ΔE_f (raw) = -86 meV per atom
Final energy = -4.074 eV/atom
Spin magnetization = 0.0 μB per formula unit

```
In2CuPO
1.0
4.9460 0.0000 0.0000
0.0000 4.9460 0.0000
0.0000 0.0000 3.7444
In Cu P O
2 1 1 1
Cartesian
0.0000 2.4730 0.0000
2.4730 0.0000 0.0000
0.0000 0.0000 1.8722
2.4730 2.4730 1.8722
0.0000 0.0000 0.0000
```

[6]
Tb2Ga3Pd5: relaxed, PBE-GGA.

Computed properties:
DFT formation energy = -784.7 meV/atom
Symmetry = Ibam
DOS at the Fermi energy = 0.448 states/eV per atom
Final energy = -5.215 eV/atom
Spin magnetization = 0.0 μB per formula unit
Excess energy over the best structure of this formula in the dataset = 0.035 eV/atom

```
Tb2Ga3Pd5
1.0
-5.3681 6.0026 2.8852
5.3681 -6.0026 2.8852
5.3681 6.0026 -2.8852
Tb Ga Pd
4 6 10
Cartesian
2.3782 1.7136 0.0000
2.3782 -1.7136 2.8852
2.9899 7.7162 0.0000
2.9899 4.2891 2.8852
4.2657 -4.2603 2.8852
5.3681 0.0000 1.4426
4.2657 4.2603 0.0000
1.1024 1.7423 2.8852
0.0000 6.0026 1.4426
1.1024 10.2629 0.0000
5.3681 -2.5543 1.4426
7.2771 1.0439 0.0000
0.0000 0.0000 1.4426
1.9090 4.9587 0.0000
5.3681 2.5543 1.4426
0.0000 3.4483 1.4426
3.4591 1.0439 2.8852
0.0000 0.0000 4.3278
-1.9090 4.9587 2.8852
0.0000 8.5569 1.4426
```